No. 1
Density functional theory data (PBE-GGA) for crystalline Tl3Au2 at its relaxed geometry.

**Distance to the lowest polymorph of the same formula**: 9.9 meV/atom
**Formation energy**: -5 meV/atom
**E**: -13.7 eV/cell
**Space-group type**: P-3m1 (164)
**Total magnetization**: 0.00 μB per atom
**Fermi-level density of states**: 1.65 states/eV/f.u.

Cell lengths 4.7985, 4.7985, 6.8974 Å; angles 90.00, 90.00, 120.00 degrees
Closest atoms and distances in Å follow each position.
Fractional positions:
Tl  0.0000  0.0000  0.0000  6 Au 3.09
Tl  0.3333  0.6667  0.3454  4 Au 2.95-3.14
Tl  0.6667  0.3333  0.6546  4 Au 2.95-3.14
Au  0.3333  0.6667  0.8004  7 Tl 2.95-3.14
Au  0.6667  0.3333  0.1996  7 Tl 2.95-3.14

No. 2
Density functional theory data (PBE-GGA) for crystalline AlAgOs3 at its relaxed geometry.

**Distance to the lowest polymorph of the same formula**: 0.0 meV/atom
**Formation energy**: 1779 meV/atom
**E**: -31.4 eV/cell
**Space-group type**: Pm-3m (221)
**Total magnetization**: 0.36 μB per atom
**Fermi-level density of states**: 7.43 states/eV/f.u.

Cell lengths 4.4526, 4.4526, 4.4526 Å; angles 90.00, 90.00, 90.00 degrees
Closest atoms and distances in Å follow each position.
Fractional positions:
Al  0.0000  0.0000  0.0000  6 Os 2.23
Ag  0.5000  0.5000  0.5000  12 Os 3.15
Os  0.0000  0.0000  0.5000  2 Al 2.23
Os  0.0000  0.5000  0.0000  2 Al 2.23
Os  0.5000  0.0000  0.0000  2 Al 2.23